DFT (PBE-GGA) results for an optimized crystal structure of PrY2Cd3Ga2Au.

POSCAR file:
```
PrY2Cd3Ga2Au
1.0
4.389 0.000 0.000
0.000 6.449 3.702
0.000 -6.449 3.702
Pr Y Cd Ga Au
1 2 3 2 1
Cartesian
0.000 0.000 0.000
0.000 -2.662 4.588
0.000 2.662 4.588
2.194 -1.647 2.141
2.194 1.647 2.141
2.194 0.000 4.929
2.194 -4.264 3.061
2.194 4.264 3.061
0.000 0.000 3.113
```

Calculated values
E_tot, eV per atom: -3.887
Crystal system: orthorhombic
Symmetry: Amm2